Material: TmNi2B
Method: DFT, PBE-GGA
State: optimized geometry

Cell lengths 3.651, 3.651, 5.170 Å; angles 69.32, 69.32, 60.00 degrees
Fractional positions:
1 Tm 0.500 0.500 0.500
2 Ni 0.701 0.701 0.897
3 Ni 0.299 0.299 0.103
4 B 0.000 0.000 0.000

Summary:
Its uncorrected energy is -6.0148 eV per atom. For the magnetization, the calculation gives 0.00 μB per atom. The mass density comes out at 9.1 Mg/m³. The symmetry is R-3m (166).